1.
NaLuNO | PBE | relaxed

Lattice parameters (Å, degrees): 6.6679 8.0214 4.6685 90.00 90.00 90.00
Closest atoms and distances in Å follow each position.
Atoms (fractional coordinates):
1 Na 0.0980 0.1036 0.0000  4 O 2.26-2.37
2 Na 0.4020 0.1036 0.5000  4 O 2.26-2.37
3 Na 0.5980 0.8964 0.0000  4 O 2.26-2.37
4 Na 0.9020 0.8964 0.5000  4 O 2.26-2.37
5 Lu 0.0725 0.6354 0.9976  1 O 2.00, 1 N 2.22
6 Lu 0.4275 0.6354 0.4976  1 O 2.00, 1 N 2.22
7 Lu 0.5725 0.3646 0.9976  1 O 2.00, 1 N 2.22
8 Lu 0.9275 0.3646 0.4976  1 O 2.00, 1 N 2.22
9 N 0.0967 0.6086 0.4979  4 Lu 2.22-2.35
10 N 0.4033 0.6086 0.9979  4 Lu 2.22-2.35
11 N 0.5967 0.3914 0.4979  4 Lu 2.22-2.35
12 N 0.9033 0.3914 0.9979  4 Lu 2.22-2.35
13 O 0.0652 0.1428 0.5007  1 Lu 2.00
14 O 0.4348 0.1428 0.0007  1 Lu 2.00
15 O 0.5652 0.8572 0.5007  1 Lu 2.00
16 O 0.9348 0.8572 0.0007  1 Lu 2.00

Computed properties:
Total DFT energy (no corrections) (eV/f.u.): -24.7
E above lowest polymorph (meV/atom): 80
ρ (g cm⁻³): 6.06

=====

2.
PmMgPO | PBE | relaxed

Lattice parameters (Å, degrees): 4.4160 4.4160 9.2013 90.00 90.00 90.00
Closest atoms and distances in Å follow each position.
Atoms (fractional coordinates):
1 Pm 0.2500 0.7500 0.0000  4 P 2.75
2 Pm 0.7500 0.2500 0.0000  4 P 2.75
3 Mg 0.2500 0.2500 0.4907  4 O 2.21
4 Mg 0.7500 0.7500 0.5093  4 O 2.21
5 P 0.2500 0.2500 0.1787  4 Pm 2.75, 1 Mg 2.87
6 P 0.7500 0.7500 0.8213  4 Pm 2.75, 1 Mg 2.87
7 O 0.2500 0.7500 0.5000  4 Mg 2.21
8 O 0.7500 0.2500 0.5000  4 Mg 2.21

Computed properties:
Total DFT energy (no corrections) (eV/f.u.): -21.0
E above lowest polymorph (meV/atom): 877
ρ (g cm⁻³): 4.00

=====

3.
HfCd2Pb | PBE | relaxed

Lattice parameters (Å, degrees): 5.1015 5.1015 5.1015 60.00 60.00 60.00
Closest atoms and distances in Å follow each position.
Atoms (fractional coordinates):
1 Hf 0.0000 0.0000 0.0000  4 Pb 3.12, 4 Cd 3.12
2 Cd 0.2500 0.2500 0.2500  4 Cd 3.12, 4 Hf 3.12
3 Cd 0.5000 0.5000 0.5000  4 Cd 3.12, 4 Pb 3.12
4 Pb 0.7500 0.7500 0.7500  4 Cd 3.12, 4 Hf 3.12

Computed properties:
Total DFT energy (no corrections) (eV/f.u.): -14.2
ρ (g cm⁻³): 10.80